This record from Alexandria via LeMat-Bulk describes a geometry-optimized LiDyYEr structure. The functional is PBE-GGA.

Calculated values
Volume = 115.1 Å³/f.u.
Final energy = -4.214 eV/atom
Calculated formation energy = 0.172 eV per atom

Unit cell a=5.460 b=5.460 c=5.460 alpha=60.00 beta=60.00 gamma=60.00
Sites, in units of the cell vectors:
Y 0.250 0.250 0.250
Dy 0.750 0.750 0.750
Li 0.500 0.500 0.500
Er 0.000 0.000 0.000